A plane-wave DFT calculation with PBE was carried out for a relaxed structure of FeReBAu.

The structure belongs to space group F-43m (No. 216); the cell edges are 5.972, 5.972 and 5.972 Å and the angles 90.00°, 90.00° and 90.00°. Symmetry generates all atoms from Fe at (0.000, 0.000, 0.000), Re at (0.250, 0.250, 0.250), B at (0.250, 0.250, 0.750) and Au at (0.000, 0.000, 0.500).

The calculation puts the size of the total moment at 5.41 μB per cell. The excess energy over the best structure of this formula in the dataset is 0.300 eV per atom.



A plane-wave DFT calculation with PBE was carried out for a relaxed structure of ScFeBAu.

The structure belongs to space group F-43m (No. 216); the cell edges are 6.014, 6.014 and 6.014 Å and the angles 90.00°, 90.00° and 90.00°. Symmetry generates all atoms from Sc at (0.000, 0.000, 0.000), Fe at (0.250, 0.250, 0.750), B at (0.000, 0.000, 0.500) and Au at (0.250, 0.250, 0.250).

The calculation puts the size of the total moment at 4.44 μB per cell. The excess energy over the best structure of this formula in the dataset is 0.134 eV per atom.



A plane-wave DFT calculation with PBE was carried out for a relaxed structure of ScFeBAu.

The structure belongs to space group F-43m (No. 216); the cell edges are 6.162, 6.162 and 6.162 Å and the angles 90.00°, 90.00° and 90.00°. Symmetry generates all atoms from Sc at (0.000, 0.000, 0.000), Fe at (0.000, 0.000, 0.500), B at (0.250, 0.250, 0.250) and Au at (0.250, 0.250, 0.750).

The calculation puts the size of the total moment at 9.91 μB per cell. The excess energy over the best structure of this formula in the dataset is 0.000 eV per atom.



A plane-wave DFT calculation with PBE was carried out for a relaxed structure of TaFeBAu.

The structure belongs to space group F-43m (No. 216); the cell edges are 6.065, 6.065 and 6.065 Å and the angles 90.00°, 90.00° and 90.00°. Symmetry generates all atoms from Ta at (0.000, 0.000, 0.000), Fe at (0.250, 0.250, 0.750), B at (0.000, 0.000, 0.500) and Au at (0.250, 0.250, 0.250).

The calculation puts the size of the total moment at 6.40 μB per cell. The excess energy over the best structure of this formula in the dataset is 0.221 eV per atom.



A plane-wave DFT calculation with PBE was carried out for a relaxed structure of TaFeBAu.

The structure belongs to space group F-43m (No. 216); the cell edges are 6.053, 6.053 and 6.053 Å and the angles 90.00°, 90.00° and 90.00°. Symmetry generates all atoms from Ta at (0.000, 0.000, 0.000), Fe at (0.000, 0.000, 0.500), B at (0.250, 0.250, 0.250) and Au at (0.250, 0.250, 0.750).

The calculation puts the size of the total moment at 7.63 μB per cell. The excess energy over the best structure of this formula in the dataset is 0.000 eV per atom.



A plane-wave DFT calculation with PBE was carried out for a relaxed structure of FeTcBAu.

The structure belongs to space group F-43m (No. 216); the cell edges are 5.920, 5.920 and 5.920 Å and the angles 90.00°, 90.00° and 90.00°. Symmetry generates all atoms from Fe at (0.000, 0.000, 0.000), Tc at (0.000, 0.000, 0.500), B at (0.250, 0.250, 0.750) and Au at (0.250, 0.250, 0.250).

The calculation puts the size of the total moment at 7.40 μB per cell. The excess energy over the best structure of this formula in the dataset is 0.000 eV per atom.



A plane-wave DFT calculation with PBE was carried out for a relaxed structure of YFeBAu.

The structure belongs to space group F-43m (No. 216); the cell edges are 6.382, 6.382 and 6.382 Å and the angles 90.00°, 90.00° and 90.00°. Symmetry generates all atoms from Y at (0.000, 0.000, 0.000), Fe at (0.250, 0.250, 0.750), B at (0.000, 0.000, 0.500) and Au at (0.250, 0.250, 0.250).

The calculation puts the size of the total moment at 9.98 μB per cell. The excess energy over the best structure of this formula in the dataset is 0.276 eV per atom.



A plane-wave DFT calculation with PBE was carried out for a relaxed structure of YFeBAu.

The structure belongs to space group F-43m (No. 216); the cell edges are 6.443, 6.443 and 6.443 Å and the angles 90.00°, 90.00° and 90.00°. Symmetry generates all atoms from Y at (0.000, 0.000, 0.000), Fe at (0.000, 0.000, 0.500), B at (0.250, 0.250, 0.250) and Au at (0.250, 0.250, 0.750).

The calculation puts the size of the total moment at 10.99 μB per cell. The excess energy over the best structure of this formula in the dataset is 0.000 eV per atom.



A plane-wave DFT calculation with PBE was carried out for a relaxed structure of ZrFeBAu.

The structure belongs to space group F-43m (No. 216); the cell edges are 6.180, 6.180 and 6.180 Å and the angles 90.00°, 90.00° and 90.00°. Symmetry generates all atoms from Zr at (0.000, 0.000, 0.000), Fe at (0.250, 0.250, 0.750), B at (0.000, 0.000, 0.500) and Au at (0.250, 0.250, 0.250).

The calculation puts the size of the total moment at 6.95 μB per cell. The excess energy over the best structure of this formula in the dataset is 0.229 eV per atom.



A plane-wave DFT calculation with PBE was carried out for a relaxed structure of ZrFeBAu.

The structure belongs to space group F-43m (No. 216); the cell edges are 6.229, 6.229 and 6.229 Å and the angles 90.00°, 90.00° and 90.00°. Symmetry generates all atoms from Zr at (0.000, 0.000, 0.000), Fe at (0.000, 0.000, 0.500), B at (0.250, 0.250, 0.250) and Au at (0.250, 0.250, 0.750).

The calculation puts the size of the total moment at 9.98 μB per cell. The excess energy over the best structure of this formula in the dataset is 0.000 eV per atom.



A plane-wave DFT calculation with PBE was carried out for a relaxed structure of Ga3BAu.

The structure belongs to space group P6_3/mmc (No. 194); the cell edges are 6.9671, 6.9671 and 6.2678 Å and the angles 90.00°, 90.00° and 120.00°. Symmetry generates all atoms from Ga at (0.1681, 0.3362, 0.2500), B at (0.3333, 0.6667, 0.2500) and Au at (0.0000, 0.0000, 0.0000).



A plane-wave DFT calculation with PBE was carried out for a relaxed structure of LiGaBAu.

The structure belongs to space group F-43m (No. 216); the cell edges are 5.992, 5.992 and 5.992 Å and the angles 90.00°, 90.00° and 90.00°. Symmetry generates all atoms from Li at (0.000, 0.000, 0.000), Ga at (0.250, 0.250, 0.250), B at (0.250, 0.250, 0.750) and Au at (0.000, 0.000, 0.500).

The excess energy over the best structure of this formula in the dataset is 0.009 eV per atom.



Number 1: E_tot -6.463 eV/atom. Number 2: E_tot -5.763 eV/atom. Number 3: E_tot -5.897 eV/atom. Number 4: E_tot -6.773 eV/atom. Number 5: E_tot -6.994 eV/atom. Number 6: E_tot -6.393 eV/atom. Number 7: E_tot -5.567 eV/atom. Number 8: E_tot -5.843 eV/atom. Number 9: E_tot -6.185 eV/atom. Number 10: E_tot -6.414 eV/atom. Number 11: E_tot -3.374 eV/atom. Number 12: E_tot -3.370 eV/atom.